AcDyFe2O6: relaxed, PBE with a Hubbard U.

The structure in CIF format:
```
data_AcDyFe2O6
_chemical_formula_sum 'Ac2 Dy2 Fe4 O12'
_symmetry_space_group_name_H-M 'C 1 m 1'
_symmetry_Int_Tables_number 8
_symmetry_space_group_name_Hall 'C -2y'
_cell_length_a 7.917
_cell_length_b 7.914
_cell_length_c 5.607
_cell_angle_alpha 90.00
_cell_angle_beta 134.79
_cell_angle_gamma 90.00
loop_
_atom_site_label
_atom_site_type_symbol
_atom_site_fract_x
_atom_site_fract_y
_atom_site_fract_z
Ac1 Ac 0.000 0.000 0.000
Dy1 Dy 0.480 0.000 0.948
Fe1 Fe 0.002 0.250 0.496
O1 O 0.005 0.500 0.381
O2 O 0.047 0.000 0.617
O3 O 0.236 0.310 0.004
O4 O 0.268 0.201 0.526
```

Summary:
For the raw total energy, the calculation gives -7.454 eV per atom.